# PBE Pm8Dy6Tl, relaxed
# Energy relative to the elements ... 0.087 eV per atom
# Magnetization ... 0.000 Bohr magnetons per cell
# Symmetry ... P-3, No. 147
data_Pm8Dy6Tl
_chemical_formula_sum 'Pm8 Dy6 Tl1'
_cell_length_a 6.5003
_cell_length_b 9.3901
_cell_length_c 9.3901
_cell_angle_alpha 120.00
_cell_angle_beta 90.00
_cell_angle_gamma 90.00
_space_group_name_H-M_alt 'P 1'
_space_group_IT_number 1
_space_group_name_Hall 'P 1'
loop_
_atom_site_label
_atom_site_type_symbol
_atom_site_fract_x
_atom_site_fract_y
_atom_site_fract_z
_atom_site_occupancy
Pm1 Pm 0.8188 0.0417 0.2715 1
Pm2 Pm 0.8188 0.7285 0.7702 1
Pm3 Pm 0.8188 0.2298 0.9583 1
Pm4 Pm 0.1812 0.9583 0.7285 1
Pm5 Pm 0.1812 0.2715 0.2298 1
Pm6 Pm 0.1812 0.7702 0.0417 1
Pm7 Pm 0.8461 0.3333 0.6667 1
Pm8 Pm 0.1539 0.6667 0.3333 1
Dy1 Dy 0.6700 0.6465 0.0972 1
Dy2 Dy 0.6700 0.9028 0.5493 1
Dy3 Dy 0.6700 0.4507 0.3535 1
Dy4 Dy 0.3300 0.3535 0.9028 1
Dy5 Dy 0.3300 0.0972 0.4507 1
Dy6 Dy 0.3300 0.5493 0.6465 1
Tl1 Tl 0.5000 0.0000 0.0000 1